#i
Compound: OsWAu
Source: the Alexandria database
Functional: GGA-PBEsol
Structure: relaxed

Lattice parameters (Å, degrees): 2.8078 3.9022 8.3689 90.00 90.00 90.00
Space group Imm2 (No. 44)
One atom of each set of equivalent atoms:
Os 0.0000 0.0000 0.0000 (multiplicity 2)
W 0.0000 0.0000 0.6541 (multiplicity 2)
Au 0.0000 0.0000 0.3280 (multiplicity 2)



#ii
Compound: OsWAu
Source: the Alexandria database
Functional: GGA-PBEsol
Structure: relaxed

Lattice parameters (Å, degrees): 2.9061 4.5700 14.2781 90.00 90.00 90.00
Space group Fmm2 (No. 42)
One atom of each set of equivalent atoms:
Os 0.0000 0.0000 0.0000 (multiplicity 4)
W 0.0000 0.0000 0.3490 (multiplicity 4)
Au 0.0000 0.0000 0.6757 (multiplicity 4)



Result of the stability comparison: #ii is the least stable of them.



#i
Compound: Os3WAu
Source: the Alexandria database
Functional: GGA-PBEsol
Structure: relaxed

Lattice parameters (Å, degrees): 4.6513 4.6513 4.6513 90.00 90.00 90.00
Space group Pm-3m (No. 221)
One atom of each set of equivalent atoms:
Os 0.0000 0.0000 0.5000 (multiplicity 3)
W 0.5000 0.5000 0.5000 (multiplicity 1)
Au 0.0000 0.0000 0.0000 (multiplicity 1)



#ii
Compound: Os3WAu
Source: the Alexandria database
Functional: GGA-PBEsol
Structure: relaxed

Lattice parameters (Å, degrees): 4.6540 4.6540 4.6540 90.00 90.00 90.00
Space group Pm-3m (No. 221)
One atom of each set of equivalent atoms:
Os 0.0000 0.0000 0.5000 (multiplicity 3)
W 0.0000 0.0000 0.0000 (multiplicity 1)
Au 0.5000 0.5000 0.5000 (multiplicity 1)



Result of the stability comparison: #i is the least stable of them.



#i
Compound: PPbAu
Source: the Alexandria database
Functional: GGA-PBEsol
Structure: relaxed

Lattice parameters (Å, degrees): 4.1924 4.1924 4.3130 90.00 90.00 120.00
Space group P3m1 (No. 156)
One atom of each set of equivalent atoms:
P 0.0000 0.0000 0.0000 (multiplicity 1)
Pb 0.6667 0.3333 0.4998 (multiplicity 1)
Au 0.3333 0.6667 0.9957 (multiplicity 1)



#ii
Compound: PPbAu
Source: the Alexandria database
Functional: GGA-PBEsol
Structure: relaxed

Lattice parameters (Å, degrees): 4.1898 4.1898 8.6430 90.00 90.00 120.00
Space group P6_3/mmc (No. 194)
One atom of each set of equivalent atoms:
P 0.3333 0.6667 0.2500 (multiplicity 2)
Pb 0.0000 0.0000 0.0000 (multiplicity 2)
Au 0.3333 0.6667 0.7500 (multiplicity 2)



Result of the stability comparison: #ii is the least stable of them.



#i
Compound: RePAu
Source: the Alexandria database
Functional: GGA-PBEsol
Structure: relaxed

Lattice parameters (Å, degrees): 6.0258 6.0258 6.0258 90.00 90.00 90.00
Space group F-43m (No. 216)
One atom of each set of equivalent atoms:
Re 0.0000 0.0000 0.0000 (multiplicity 4)
P 0.0000 0.0000 0.5000 (multiplicity 4)
Au 0.2500 0.2500 0.2500 (multiplicity 4)



#ii
Compound: RePAu
Source: the Alexandria database
Functional: GGA-PBEsol
Structure: relaxed

Lattice parameters (Å, degrees): 2.8934 2.8934 6.3867 90.00 90.00 120.00
Space group P3m1 (No. 156)
One atom of each set of equivalent atoms:
Re 0.0000 0.0000 0.0000 (multiplicity 1)
P 0.6667 0.3333 0.2570 (multiplicity 1)
Au 0.3333 0.6667 0.6298 (multiplicity 1)



Result of the stability comparison: #i is the least stable of them.



#i
Compound: P2RhAu
Source: the Alexandria database
Functional: GGA-PBEsol
Structure: relaxed

Lattice parameters (Å, degrees): 3.1842 3.1842 5.8051 90.00 90.00 90.00
Space group P4/mmm (No. 123)
One atom of each set of equivalent atoms:
P 0.0000 0.0000 0.2093 (multiplicity 2)
Rh 0.5000 0.5000 0.0000 (multiplicity 1)
Au 0.5000 0.5000 0.5000 (multiplicity 1)



#ii
Compound: P2RhAu
Source: the Alexandria database
Functional: GGA-PBEsol
Structure: relaxed

Lattice parameters (Å, degrees): 2.7574 4.5967 10.0915 90.00 90.00 90.00
Space group Immm (No. 71)
One atom of each set of equivalent atoms:
P 0.0000 0.0000 0.1929 (multiplicity 4)
Rh 0.0000 0.5000 0.5000 (multiplicity 2)
Au 0.0000 0.5000 0.0000 (multiplicity 2)



Result of the stability comparison: #ii is the least stable of them.



#i
Compound: P2RhAu
Source: the Alexandria database
Functional: GGA-PBEsol
Structure: relaxed

Lattice parameters (Å, degrees): 4.1896 3.2187 4.8591 90.00 115.35 90.00
Space group Pm (No. 6)
One atom of each set of equivalent atoms:
P 0.0000 0.0000 0.0000 (multiplicity 1)
P 0.4206 0.5000 0.1289 (multiplicity 1)
Rh 0.8602 0.0000 0.4268 (multiplicity 1)
Au 0.4634 0.5000 0.6570 (multiplicity 1)



#ii
Compound: P2RhAu
Source: the Alexandria database
Functional: GGA-PBEsol
Structure: relaxed

Lattice parameters (Å, degrees): 3.0286 4.5207 8.4098 90.00 90.00 90.00
Space group Imm2 (No. 44)
One atom of each set of equivalent atoms:
P 0.0000 0.0000 0.0000 (multiplicity 2)
P 0.0000 0.5000 0.2752 (multiplicity 2)
Rh 0.0000 0.5000 0.7140 (multiplicity 2)
Au 0.0000 0.0000 0.5074 (multiplicity 2)



Result of the stability comparison: #ii is the least stable of them.



#i
Compound: ScP2Au
Source: the Alexandria database
Functional: GGA-PBEsol
Structure: relaxed

Lattice parameters (Å, degrees): 4.2988 4.2988 3.4212 90.00 90.00 90.00
Space group P4/mmm (No. 123)
One atom of each set of equivalent atoms:
Sc 0.0000 0.0000 0.0000 (multiplicity 1)
P 0.0000 0.5000 0.5000 (multiplicity 2)
Au 0.5000 0.5000 0.0000 (multiplicity 1)



#ii
Compound: ScP2Au
Source: the Alexandria database
Functional: GGA-PBEsol
Structure: relaxed

Lattice parameters (Å, degrees): 3.0832 3.0832 17.0628 90.00 90.00 120.00
Space group P6_3/mmc (No. 194)
One atom of each set of equivalent atoms:
Sc 0.0000 0.0000 0.0000 (multiplicity 2)
P 0.3333 0.6667 0.1132 (multiplicity 4)
Au 0.3333 0.6667 0.2500 (multiplicity 2)



Result of the stability comparison: #ii is the least stable of them.



#i
Compound: PAu2Se
Source: the Alexandria database
Functional: GGA-PBEsol
Structure: relaxed

Lattice parameters (Å, degrees): 2.7840 5.2027 9.6559 90.00 90.00 90.00
Space group Immm (No. 71)
One atom of each set of equivalent atoms:
P 0.0000 0.0000 0.0000 (multiplicity 2)
Au 0.0000 0.5000 0.2667 (multiplicity 4)
Se 0.0000 0.0000 0.5000 (multiplicity 2)



#ii
Compound: PAu2Se
Source: the Alexandria database
Functional: GGA-PBEsol
Structure: relaxed

Lattice parameters (Å, degrees): 4.1538 4.1538 8.0683 90.00 90.00 90.00
Space group I-4m2 (No. 119)
One atom of each set of equivalent atoms:
P 0.0000 0.0000 0.0000 (multiplicity 2)
Au 0.0000 0.0000 0.5000 (multiplicity 2)
Au 0.0000 0.5000 0.7500 (multiplicity 2)
Se 0.0000 0.5000 0.2500 (multiplicity 2)



#iii
Compound: PAu2Se
Source: the Alexandria database
Functional: GGA-PBEsol
Structure: relaxed

Lattice parameters (Å, degrees): 6.0089 6.0089 9.8070 90.00 90.00 90.00
Space group I-42d (No. 122)
One atom of each set of equivalent atoms:
P 0.0000 0.0000 0.0000 (multiplicity 4)
Au 0.2162 0.7500 0.1250 (multiplicity 8)
Se 0.0000 0.0000 0.5000 (multiplicity 4)



Result of the stability comparison: #ii is the least stable of them.



#i
Compound: TlPAu2
Source: the Alexandria database
Functional: GGA-PBEsol
Structure: relaxed

Lattice parameters (Å, degrees): 4.4813 4.4813 4.9470 90.00 90.00 90.00
Space group P-4m2 (No. 115)
One atom of each set of equivalent atoms:
Tl 0.0000 0.0000 0.0000 (multiplicity 1)
P 0.5000 0.5000 0.5000 (multiplicity 1)
Au 0.0000 0.5000 0.3689 (multiplicity 2)



#ii
Compound: TlPAu2
Source: the Alexandria database
Functional: GGA-PBEsol
Structure: relaxed

Lattice parameters (Å, degrees): 3.4376 3.4376 7.3727 90.00 90.00 90.00
Space group P4mm (No. 99)
One atom of each set of equivalent atoms:
Tl 0.0000 0.0000 0.0000 (multiplicity 1)
P 0.5000 0.5000 0.5418 (multiplicity 1)
Au 0.0000 0.0000 0.6123 (multiplicity 1)
Au 0.5000 0.5000 0.2241 (multiplicity 1)



Result of the stability comparison: #ii is the least stable of them.



#i
Compound: Pb5Au
Source: the Alexandria database
Functional: GGA-PBEsol
Structure: relaxed

Lattice parameters (Å, degrees): 12.7210 3.5751 7.5507 90.00 106.52 90.00
Space group C2/m (No. 12)
One atom of each set of equivalent atoms:
Pb 0.0000 0.0000 0.0000 (multiplicity 2)
Pb 0.1460 0.5000 0.3532 (multiplicity 4)
Pb 0.1587 0.5000 0.8009 (multiplicity 4)
Au 0.0000 0.0000 0.5000 (multiplicity 2)



#ii
Compound: Pb5Au
Source: the Alexandria database
Functional: GGA-PBEsol
Structure: relaxed

Lattice parameters (Å, degrees): 3.5093 3.5093 13.2972 90.00 90.00 90.00
Space group P4/mmm (No. 123)
One atom of each set of equivalent atoms:
Pb 0.0000 0.0000 0.0000 (multiplicity 1)
Pb 0.0000 0.0000 0.3660 (multiplicity 2)
Pb 0.5000 0.5000 0.1785 (multiplicity 2)
Au 0.5000 0.5000 0.5000 (multiplicity 1)



#iii
Compound: Pb5Au
Source: the Alexandria database
Functional: GGA-PBEsol
Structure: relaxed

Lattice parameters (Å, degrees): 3.5299 16.9025 5.5543 90.00 90.00 90.00
Space group Cmmm (No. 65)
One atom of each set of equivalent atoms:
Pb 0.0000 0.0000 0.0000 (multiplicity 2)
Pb 0.0000 0.1433 0.5000 (multiplicity 4)
Pb 0.0000 0.3321 0.0000 (multiplicity 4)
Au 0.0000 0.5000 0.5000 (multiplicity 2)



#iv
Compound: Pb5Au
Source: the Alexandria database
Functional: GGA-PBEsol
Structure: relaxed

Lattice parameters (Å, degrees): 5.9029 5.9029 5.4231 90.00 90.00 120.00
Space group P-62m (No. 189)
One atom of each set of equivalent atoms:
Pb 0.0000 0.6795 0.0000 (multiplicity 3)
Pb 0.3333 0.6667 0.5000 (multiplicity 2)
Au 0.0000 0.0000 0.5000 (multiplicity 1)



Result of the stability comparison: #iv is the least stable of them.



#i
Compound: PtPb2Au
Source: the Alexandria database
Functional: GGA-PBEsol
Structure: relaxed

Lattice parameters (Å, degrees): 4.3315 3.7923 10.6161 90.00 90.00 90.00
Space group Amm2 (No. 38)
One atom of each set of equivalent atoms:
Pt 0.0000 0.0000 0.0000 (multiplicity 2)
Pb 0.0000 0.0000 0.2700 (multiplicity 2)
Pb 0.5000 0.0000 0.5573 (multiplicity 2)
Au 0.5000 0.0000 0.8307 (multiplicity 2)



#ii
Compound: PtPb2Au
Source: the Alexandria database
Functional: GGA-PBEsol
Structure: relaxed

Lattice parameters (Å, degrees): 3.3265 5.1017 10.2273 90.00 90.00 90.00
Space group Imm2 (No. 44)
One atom of each set of equivalent atoms:
Pt 0.0000 0.0000 0.0000 (multiplicity 2)
Pb 0.0000 0.0000 0.5242 (multiplicity 2)
Pb 0.0000 0.5000 0.7297 (multiplicity 2)
Au 0.0000 0.5000 0.2861 (multiplicity 2)



Result of the stability comparison: #ii is the least stable of them.



#i
Compound: SbPb2Au2
Source: the Alexandria database
Functional: GGA-PBEsol
Structure: relaxed

Lattice parameters (Å, degrees): 4.4993 4.4993 12.5025 90.00 90.00 90.00
Space group I4/mmm (No. 139)
One atom of each set of equivalent atoms:
Sb 0.0000 0.0000 0.0000 (multiplicity 2)
Pb 0.0000 0.5000 0.2500 (multiplicity 4)
Au 0.0000 0.0000 0.3967 (multiplicity 4)



#ii
Compound: SbPb2Au2
Source: the Alexandria database
Functional: GGA-PBEsol
Structure: relaxed

Lattice parameters (Å, degrees): 7.4438 7.4438 4.3596 90.00 90.00 90.00
Space group P4/mbm (No. 127)
One atom of each set of equivalent atoms:
Sb 0.0000 0.0000 0.0000 (multiplicity 2)
Pb 0.1695 0.3305 0.5000 (multiplicity 4)
Au 0.1326 0.6326 0.0000 (multiplicity 4)



Result of the stability comparison: #i is the least stable of them.